Ti2Ag2Bi after structural relaxation, computed with PBE-GGA.

Cell: 7.147 7.147 4.086 Å, 90.00 90.00 90.00°
Site moments in Bohr magnetons follow the coordinates.
Atoms (fractional coordinates):
Ag 0.851 0.351 0.500  0.03
Ag 0.649 0.851 0.500  0.03
Ag 0.149 0.649 0.500  0.03
Ag 0.351 0.149 0.500  0.03
Ti 0.133 0.367 0.000  0.69
Ti 0.367 0.867 0.000  0.70
Ti 0.633 0.133 0.000  0.69
Ti 0.867 0.633 0.000  0.69
Bi 0.000 0.000 0.000  -0.04
Bi 0.500 0.500 0.000  -0.04

Values from the calculation:
Total magnetization   3.54 Bohr magnetons per cell
Energy   -24.3 eV/f.u.
SG   No. 127
Formation energy   0.218 eV per atom
Calculated volume   208.7 Å³/cell